Material: Nd2FeOsO8
Method: DFT, GGA+U
State: optimized geometry

Unit cell a=5.096 b=4.594 c=7.032 alpha=89.08 beta=87.97 gamma=95.06
Last column: magnetic moment on the atom in μB.
Fractional positions:
1 Nd 0.478 0.395 0.749  0.01
2 Nd 0.522 0.605 0.251  0.01
3 Fe 0.000 0.000 0.500  4.20
4 Os 0.000 0.000 0.000  -0.54
5 O 0.114 0.821 0.235  0.03
6 O 0.770 0.679 0.958  0.02
7 O 0.737 0.139 0.175  -0.04
8 O 0.886 0.179 0.765  0.03
9 O 0.230 0.321 0.042  0.02
10 O 0.263 0.861 0.825  -0.04
11 O 0.718 0.717 0.532  0.12
12 O 0.282 0.283 0.468  0.12

Computed properties:
* spin magnetization: 0.332 μB per atom
* calculated total energy: -7.48 eV/atom